A relaxed In3BiS6 crystal, computed with PBE.

Output
Its formation energy without anion corrections is -46.4 kJ per mole of atoms. As for the electronic total energy: -83.34 eV per cell.

a = 10.886 Å, b = 3.906 Å, c = 12.940 Å
α = 90.00°, β = 112.81°, γ = 90.00°
Space group P2_1/m (No. 11)
Asymmetric unit:
In 0.008 0.250 0.124 [2 per cell]
In 0.244 0.250 0.729 [2 per cell]
In 0.386 0.750 0.537 [2 per cell]
Bi 0.402 0.250 0.091 [2 per cell]
S 0.028 0.250 0.761 [2 per cell]
S 0.155 0.750 0.079 [2 per cell]
S 0.187 0.750 0.588 [2 per cell]
S 0.356 0.750 0.913 [2 per cell]
S 0.357 0.250 0.403 [2 per cell]
S 0.488 0.250 0.749 [2 per cell]